Ca2AlSi, relaxed, DFT PBE; uncorrected formation energy = -0.125 eV/atom; total moment = 0.00 μB per formula unit; calculated volume = 103 Å³ per cell; DOS(E_F) = 2.5 states/eV/f.u.; space group = P4mm (99)
1.0
3.495 0.000 0.000
0.000 3.495 0.000
0.000 0.000 8.458
Ca Si Al
2 1 1
Cartesian
0.000 0.000 7.946
1.747 1.747 2.684
0.000 0.000 4.715
1.747 1.747 5.801

TlTe2Pb, relaxed, DFT PBE; uncorrected formation energy = -0.272 eV/atom; total moment = 0.00 μB per formula unit; calculated volume = 277 Å³ per cell; DOS(E_F) = 2.1 states/eV/f.u.; space group = Pmmn (59)
1.0
-0.078 3.074 -3.499
1.613 -4.611 -4.087
-9.015 -1.873 -1.445
Tl Te Pb
2 4 2
Cartesian
-5.658 0.370 -2.650
-2.589 -3.011 -2.588
-7.913 -1.644 -1.268
-3.338 -0.694 -0.535
-4.909 -1.948 -4.703
-0.335 -0.997 -3.970
-7.096 -3.947 -3.310
-1.151 1.306 -1.928